1.
DFT (meta-GGA SCAN) results for a PBEsol-optimized structure of CrTc2.

a b c (Å): 4.1669 4.1669 2.6313
angles (deg): 90.00 90.00 120.00
Sites, in units of the cell vectors:
Cr  0.0000  0.0000  0.0000
Tc  0.3333  0.6667  0.7077
Tc  0.6667  0.3333  0.2923

**Magnetic moment**: 0.0000 μB per atom
**Calculated formation energy**: 0.084 eV per atom
**Space group**: P-3m1 (164)



2.
DFT (meta-GGA SCAN) results for a PBEsol-optimized structure of CrTc2.

a b c (Å): 5.0143 5.0143 5.9352
angles (deg): 105.93 105.93 33.49
Sites, in units of the cell vectors:
Cr  0.0246  0.0246  0.2706
Cr  0.9754  0.9754  0.7294
Tc  0.3380  0.3380  0.3993
Tc  0.3491  0.3491  0.9471
Tc  0.6509  0.6509  0.0529
Tc  0.6620  0.6620  0.6007

**Magnetic moment**: 0.0010 μB per atom
**Calculated formation energy**: 0.065 eV per atom
**Space group**: C2/m (12)



3.
DFT (meta-GGA SCAN) results for a PBEsol-optimized structure of CrTcTe2.

a b c (Å): 3.2157 3.2157 6.4422
angles (deg): 90.00 90.00 90.00
Sites, in units of the cell vectors:
Cr  0.0000  0.0000  0.0000
Tc  0.0000  0.0000  0.5000
Te  0.5000  0.5000  0.2431
Te  0.5000  0.5000  0.7569

**Magnetic moment**: 0.0000 μB per atom
**Space group**: P4/mmm (123)
**Formation energy without anion corrections**: 0.453 eV per atom



4.
DFT (meta-GGA SCAN) results for a PBEsol-optimized structure of CrTcTe2.

a b c (Å): 4.0084 4.0084 6.5783
angles (deg): 107.78 107.78 60.03
Sites, in units of the cell vectors:
Cr  0.0000  0.0000  0.0000
Tc  0.3138  0.3138  0.9412
Te  0.5628  0.5628  0.6885
Te  0.7464  0.7464  0.2389

**Magnetic moment**: 0.0004 μB per atom
**Space group**: Cm (8)
**Formation energy without anion corrections**: 0.100 eV per atom